VCoO4 after structural relaxation, computed with GGA+U.

Cell: 4.904 4.904 7.721 Å, 90.00 90.00 90.00°
Positions (direct):
V1 0.000 0.500 0.250
V2 0.500 0.000 0.750
Co1 0.000 0.000 0.000
Co2 0.000 0.000 0.500
O1 0.185 0.279 0.384
O2 0.185 0.721 0.116
O3 0.279 0.185 0.884
O4 0.279 0.815 0.616
O5 0.721 0.185 0.616
O6 0.721 0.815 0.884
O7 0.815 0.279 0.116
O8 0.815 0.721 0.384

Calculated values
E: -6.71 eV per atom
magnetization: 4.0 μB/f.u.
symmetry: P-42c, No. 112